Material: Ac2HgRhPb
Method: DFT, PBE
State: optimized geometry

Computed properties:
The calculation puts the magnetic moment at 0.00 μB per formula unit. The value obtained for the density of states at the Fermi level is 5.67 states/eV/cell. As for the formation energy: -2.74 eV per formula unit.

POSCAR file:
```
Ac2HgRhPb
1.0
8.273 0.000 0.000
0.000 4.576 0.000
-2.806 0.000 8.032
Ac Hg Rh Pb
4 2 2 2
direct
0.117 0.250 0.334
0.285 0.250 0.973
0.715 0.750 0.027
0.883 0.750 0.666
0.434 0.750 0.320
0.566 0.250 0.680
0.102 0.750 0.086
0.898 0.250 0.914
0.311 0.750 0.662
0.689 0.250 0.338
```

Material: Cs2TmI4
Method: DFT, PBE
State: optimized geometry

Computed properties:
The calculation puts the magnetic moment at 0.54 μB per formula unit. The value obtained for the density of states at the Fermi level is 6.51 states/eV/cell. The calculation puts the raw formation energy at -1.300 eV/atom.

POSCAR file:
```
Cs2TmI4
1.0
5.994 0.000 0.000
0.000 5.994 0.000
0.000 0.000 19.319
Cs Tm I
4 2 8
direct
0.000 0.000 0.139
0.000 0.000 0.861
0.500 0.500 0.361
0.500 0.500 0.639
0.000 0.000 0.500
0.500 0.500 0.000
0.000 0.000 0.341
0.000 0.000 0.659
0.000 0.500 0.000
0.000 0.500 0.500
0.500 0.000 0.000
0.500 0.000 0.500
0.500 0.500 0.159
0.500 0.500 0.841
```

Material: PmPr8Ho2
Method: DFT, PBE
State: optimized geometry

Computed properties:
The calculation puts the magnetic moment at 0.00 μB per formula unit. The value obtained for the density of states at the Fermi level is 15.82 states/eV/cell. As for the offset from the most stable computed form: 0.000 eV/atom. As for the formation energy: 1.16 eV per formula unit.

POSCAR file:
```
PmPr8Ho2
1.0
-2.878 4.196 8.105
2.878 -4.196 8.105
2.878 4.196 -8.105
Pm Pr Ho
1 8 2
direct
0.000 0.000 0.000
0.158 0.862 0.296
0.163 0.663 0.500
0.294 0.500 0.794
0.434 0.138 0.296
0.566 0.862 0.704
0.706 0.500 0.206
0.837 0.337 0.500
0.842 0.138 0.704
0.300 0.300 0.000
0.700 0.700 0.000
```

Material: Rb2GaGeTe4
Method: DFT, PBE
State: optimized geometry

Computed properties:
The calculation puts the magnetic moment at 0.00 μB per formula unit. The value obtained for the density of states at the Fermi level is 9.27 states/eV/cell. The calculation puts the raw formation energy at -0.558 eV/atom.

POSCAR file:
```
Rb2GaGeTe4
1.0
0.000 7.665 12.719
3.385 0.000 12.719
3.385 7.665 0.000
Rb Ga Ge Te
4 2 2 8
direct
0.059 0.059 0.691
0.309 0.309 0.941
0.691 0.691 0.059
0.941 0.941 0.309
0.125 0.125 0.125
0.875 0.875 0.875
0.375 0.375 0.375
0.625 0.625 0.625
0.041 0.325 0.405
0.272 0.595 0.675
0.325 0.041 0.728
0.405 0.728 0.041
0.595 0.272 0.959
0.675 0.959 0.272
0.728 0.405 0.325
0.959 0.675 0.595
```

| no. | calculated total energy (eV/cell) | volume (A^3/atom) |
| --- | --- | --- |
| 1 | -44.6 | 30.4 |
| 2 | -43.0 | 49.6 |
| 3 | -51.0 | 35.6 |
| 4 | -53.2 | 41.3 |